Here is a geometry-optimized KPbBr2 structure from the Alexandria database. Energies are from GGA-PBEsol.

As for the calculated total energy: -3.067 eV/atom. The density of states at the Fermi level is 0.51 states/eV/atom. Its formation energy from raw total energies is -849 meV per atom. The crystal system is cubic.

It has space group Fm-3m (No. 225), with a = 7.767 Å, b = 7.767 Å, c = 7.767 Å, α = 90.00°, β = 90.00° and γ = 90.00°. The inequivalent atoms are K at (0.000, 0.000, 0.000), Pb at (0.000, 0.000, 0.500) and Br at (0.250, 0.250, 0.250).

***

Here is a geometry-optimized KRbPb2Br structure from the Alexandria database. Energies are from GGA-PBEsol.

As for the calculated total energy: -1.807 eV/atom. The density of states at the Fermi level is 0.90 states/eV/atom. Its formation energy from raw total energies is 599 meV per atom. The crystal system is tetragonal.

It has space group P4/mmm (No. 123), with a = 6.187 Å, b = 6.187 Å, c = 7.996 Å, α = 90.00°, β = 90.00° and γ = 90.00°. The inequivalent atoms are K at (0.000, 0.000, 0.000), Rb at (0.000, 0.000, 0.500), Pb at (0.000, 0.500, 0.500) and Br at (0.500, 0.500, 0.000).

***

Here is a geometry-optimized KPd3Br structure from the Alexandria database. Energies are from GGA-PBEsol.

As for the calculated total energy: -3.926 eV/atom. The density of states at the Fermi level is 0.02 states/eV/atom. Its formation energy from raw total energies is 250 meV per atom. The crystal system is cubic.

It has space group Pm-3m (No. 221), with a = 4.800 Å, b = 4.800 Å, c = 4.800 Å, α = 90.00°, β = 90.00° and γ = 90.00°. The inequivalent atoms are K at (0.000, 0.000, 0.000), Pd at (0.000, 0.500, 0.500) and Br at (0.500, 0.500, 0.500).

***

Here is a geometry-optimized KPdBr2 structure from the Alexandria database. Energies are from GGA-PBEsol.

As for the calculated total energy: -3.219 eV/atom. The density of states at the Fermi level is 1.85 states/eV/atom. Its formation energy from raw total energies is -511 meV per atom. The crystal system is trigonal.

It has space group R-3m (No. 166, hexagonal axes), with a = 4.9675 Å, b = 4.9675 Å, c = 23.2254 Å, α = 90.00°, β = 90.00° and γ = 120.00°. The inequivalent atoms are K at (0.0000, 0.0000, 0.0000), Pd at (0.0000, 0.0000, 0.5000) and Br at (0.0000, 0.0000, 0.3974).

***

Here is a geometry-optimized KPt4Br structure from the Alexandria database. Energies are from GGA-PBEsol.

As for the calculated total energy: -4.846 eV/atom. The density of states at the Fermi level is 1.63 states/eV/atom. Its formation energy from raw total energies is 297 meV per atom. The crystal system is cubic.

It has space group F-43m (No. 216), with a = 7.629 Å, b = 7.629 Å, c = 7.629 Å, α = 90.00°, β = 90.00° and γ = 90.00°. The inequivalent atoms are K at (0.000, 0.000, 0.000), Pt at (0.126, 0.126, 0.626) and Br at (0.250, 0.250, 0.250).

***

Here is a geometry-optimized KPtBr2 structure from the Alexandria database. Energies are from GGA-PBEsol.

As for the calculated total energy: -3.049 eV/atom. The density of states at the Fermi level is 0.93 states/eV/atom. Its formation energy from raw total energies is -90 meV per atom. The crystal system is tetragonal.

It has space group P4/mmm (No. 123), with a = 3.544 Å, b = 3.544 Å, c = 7.428 Å, α = 90.00°, β = 90.00° and γ = 90.00°. The inequivalent atoms are K at (0.000, 0.000, 0.000), Pt at (0.000, 0.000, 0.500) and Br at (0.500, 0.500, 0.283).

***

Here is a geometry-optimized K2PtBr4 structure from the Alexandria database. Energies are from GGA-PBEsol.

As for the calculated total energy: -3.479 eV/atom. Its formation energy from raw total energies is -1092 meV per atom. The crystal system is tetragonal.

It has space group P4/mmm (No. 123), with a = 7.296 Å, b = 7.296 Å, c = 4.324 Å, α = 90.00°, β = 90.00° and γ = 90.00°. The inequivalent atoms are K at (0.000, 0.500, 0.000), Pt at (0.000, 0.000, 0.500) and Br at (0.236, 0.236, 0.500).

***

Here is a geometry-optimized K2PtBr6 structure from the Alexandria database. Energies are from GGA-PBEsol.

As for the calculated total energy: -3.250 eV/atom. Its formation energy from raw total energies is -978 meV per atom. The crystal system is cubic.

It has space group Fm-3m (No. 225), with a = 10.226 Å, b = 10.226 Å, c = 10.226 Å, α = 90.00°, β = 90.00° and γ = 90.00°. The inequivalent atoms are K at (0.250, 0.250, 0.250), Pt at (0.000, 0.000, 0.000) and Br at (0.000, 0.000, 0.241).

***

Here is a geometry-optimized K3RbBr structure from the Alexandria database. Energies are from GGA-PBEsol.

As for the calculated total energy: -1.249 eV/atom. The density of states at the Fermi level is 1.00 states/eV/atom. Its formation energy from raw total energies is 10 meV per atom. The crystal system is cubic.

It has space group Pm-3m (No. 221), with a = 7.639 Å, b = 7.639 Å, c = 7.639 Å, α = 90.00°, β = 90.00° and γ = 90.00°. The inequivalent atoms are K at (0.000, 0.000, 0.500), Rb at (0.000, 0.000, 0.000) and Br at (0.500, 0.500, 0.500).

***

Here is a geometry-optimized K3RbBr structure from the Alexandria database. Energies are from GGA-PBEsol.

As for the calculated total energy: -1.869 eV/atom. The density of states at the Fermi level is 0.54 states/eV/atom. Its formation energy from raw total energies is -610 meV per atom. The crystal system is cubic.

It has space group Pm-3m (No. 221), with a = 6.681 Å, b = 6.681 Å, c = 6.681 Å, α = 90.00°, β = 90.00° and γ = 90.00°. The inequivalent atoms are K at (0.000, 0.000, 0.500), Rb at (0.500, 0.500, 0.500) and Br at (0.000, 0.000, 0.000).

***

Here is a geometry-optimized KRb2ScBr6 structure from the Alexandria database. Energies are from GGA-PBEsol.

As for the calculated total energy: -3.817 eV/atom. The density of states at the Fermi level is 0.00 states/eV/atom. Its formation energy from raw total energies is -1717 meV per atom. The crystal system is cubic.

It has space group Fm-3m (No. 225), with a = 11.320 Å, b = 11.320 Å, c = 11.320 Å, α = 90.00°, β = 90.00° and γ = 90.00°. The inequivalent atoms are K at (0.000, 0.000, 0.000), Rb at (0.250, 0.250, 0.250), Sc at (0.000, 0.000, 0.500) and Br at (0.000, 0.000, 0.269).

***

Here is a geometry-optimized KRe2Br structure from the Alexandria database. Energies are from GGA-PBEsol.

As for the calculated total energy: -6.235 eV/atom. The density of states at the Fermi level is 0.89 states/eV/atom. Its formation energy from raw total energies is 1182 meV per atom. The crystal system is orthorhombic.

It has space group Pmmm (No. 47), with a = 2.665 Å, b = 4.794 Å, c = 7.040 Å, α = 90.00°, β = 90.00° and γ = 90.00°. The inequivalent atoms are K at (0.000, 0.000, 0.000), Re at (0.000, 0.500, 0.500), Re at (0.500, 0.000, 0.500) and Br at (0.500, 0.500, 0.000).

***

- Which of these has the highest formation energy from raw total energies?
  KRe2Br